[1]
{"formula": "LiHfTlNi", "functional": "PBE", "state": "relaxed", "cell": [[0.000, 3.262, 3.262], [3.262, 0.000, 3.262], [3.262, 3.262, 0.000]], "species": ["Li", "Hf", "Tl", "Ni"], "frac_coords": [[0.000, 0.000, 0.000], [0.500, 0.500, 0.500], [0.750, 0.750, 0.750], [0.250, 0.250, 0.250]], "polymorph_energy_mev_per_atom": 192}

[2]
{"formula": "Ho2ReO5", "functional": "PBE", "state": "relaxed", "cell": [[-4.272, 4.272, 2.820], [4.272, -4.272, 2.820], [4.272, 4.272, -2.820]], "species": ["Ho", "Ho", "Ho", "Ho", "Re", "Re", "O", "O", "O", "O", "O", "O", "O", "O", "O", "O"], "frac_coords": [[0.101, 0.322, 0.423], [0.322, 0.899, 0.221], [0.678, 0.101, 0.779], [0.899, 0.678, 0.577], [0.305, 0.305, 0.000], [0.695, 0.695, 0.000], [0.043, 0.140, 0.702], [0.140, 0.438, 0.098], [0.250, 0.750, 0.500], [0.341, 0.043, 0.902], [0.438, 0.341, 0.298], [0.562, 0.659, 0.702], [0.659, 0.957, 0.098], [0.750, 0.250, 0.500], [0.860, 0.562, 0.902], [0.957, 0.860, 0.298]], "dft_energy_ev_per_fu": -68.9}

[3]
{"formula": "TmNbFe", "functional": "PBE", "state": "relaxed", "cell": [[0.000, 3.092, 3.092], [3.092, 0.000, 3.092], [3.092, 3.092, 0.000]], "species": ["Tm", "Nb", "Fe"], "frac_coords": [[0.000, 0.000, 0.000], [0.500, 0.500, 0.500], [0.750, 0.750, 0.750]], "delta_e_f_ev_per_atom": 0.333, "polymorph_energy_mev_per_atom": 0}

no.,density (g/cm3)
1,10.7
2,9.6
3,8.9